# LiHf2Re PBE-GGA relaxed
data_LiHf2Re
_chemical_formula_sum 'Li1 Hf2 Re1'
_cell_length_a 4.5864
_cell_length_b 4.5864
_cell_length_c 3.3262
_cell_angle_alpha 90.00
_cell_angle_beta 90.00
_cell_angle_gamma 90.00
_space_group_name_H-M_alt 'P 4/m m m'
_space_group_IT_number 123
_space_group_name_Hall '-P 4 2'
loop_
_atom_site_label
_atom_site_fract_x
_atom_site_fract_y
_atom_site_fract_z
Li1 0.0000 0.0000 0.0000
Hf1 0.0000 0.5000 0.5000
Re1 0.5000 0.5000 0.0000
# **V**: 70 Å³/cell
# **Polymorph energy (0 for the lowest one)**: 44 kJ/mol of formula units